An optimized crystal structure of FeIr5Pt2. Source: Alexandria, functional PBE.

- N(E_F): 10.1 states/eV/f.u.
- Total moment: 2.846 μB per formula unit
- Calculated total energy: -0.595 Ry/atom
- Mass density: 20.09 g/cm3
- Formation energy: 0.00 eV per atom

Lattice parameters (Å, degrees): 3.8699 3.8699 8.2354 103.59 103.59 90.00
Site moments in Bohr magnetons follow the coordinates.
Fractional positions:
1 Ir 0.6189 0.1189 0.2378  0.01
2 Ir 0.8811 0.3811 0.7622  0.01
3 Ir 0.1189 0.6189 0.2378  0.01
4 Ir 0.5000 0.5000 0.0000  0.18
5 Ir 0.3811 0.8811 0.7622  0.01
6 Fe 0.0000 0.0000 0.0000  2.60
7 Pt 0.2498 0.2498 0.4997  0.00
8 Pt 0.7502 0.7502 0.5003  0.00